Record 1
# CoHRu2W PBE relaxed
# energy above the most stable polymorph in this dataset	0.1335	eV/atom
# density	13.0	Mg/m³
# symmetry	No. 123
# VASP energy	-8.30	eV per atom
data_CoHRu2W
_chemical_formula_sum 'Co1 H1 Ru2 W1'
_symmetry_space_group_name_H-M 'P 1'
_symmetry_Int_Tables_number 1
_cell_length_a 3.8182
_cell_length_b 3.8182
_cell_length_c 3.9003
_cell_angle_alpha 90.00
_cell_angle_beta 90.00
_cell_angle_gamma 90.00
loop_
_symmetry_equiv_pos_as_xyz
'x,y,z'
loop_
_atom_site_label
_atom_site_fract_x
_atom_site_fract_y
_atom_site_fract_z
Co1 0.0000 0.0000 0.0000
H1 0.5000 0.5000 0.5000
Ru1 0.0000 0.5000 0.5000
Ru2 0.5000 0.0000 0.5000
W1 0.5000 0.5000 0.0000

Record 2
# Sc12TlIn3 PBE relaxed
# density	4.9	Mg/m³
# symmetry	No. 123
# VASP energy	-5.68	eV per atom
# energy of formation	-25.86	kJ/mol of atoms
data_Sc12TlIn3
_chemical_formula_sum 'Sc12 Tl1 In3'
_symmetry_space_group_name_H-M 'P 1'
_symmetry_Int_Tables_number 1
_cell_length_a 4.5220
_cell_length_b 4.5220
_cell_length_c 18.0926
_cell_angle_alpha 90.00
_cell_angle_beta 90.00
_cell_angle_gamma 90.00
loop_
_symmetry_equiv_pos_as_xyz
'x,y,z'
loop_
_atom_site_label
_atom_site_fract_x
_atom_site_fract_y
_atom_site_fract_z
Sc1 0.0000 0.0000 0.0000
Sc2 0.0000 0.0000 0.2500
Sc3 0.0000 0.0000 0.5000
Sc4 0.0000 0.0000 0.7500
Sc5 0.0000 0.5000 0.1250
Sc6 0.0000 0.5000 0.3744
Sc7 0.0000 0.5000 0.6256
Sc8 0.0000 0.5000 0.8750
Sc9 0.5000 0.0000 0.1250
Sc10 0.5000 0.0000 0.3744
Sc11 0.5000 0.0000 0.6256
Sc12 0.5000 0.0000 0.8750
Tl1 0.5000 0.5000 0.5000
In1 0.5000 0.5000 0.0000
In2 0.5000 0.5000 0.2500
In3 0.5000 0.5000 0.7500

Record 3
# NbCd2Co PBE relaxed
# energy above the most stable polymorph in this dataset	0.0000	eV/atom
# density	9.0	Mg/m³
# symmetry	No. 225
# VASP energy	-4.26	eV per atom
# energy of formation	47.46	kJ/mol of atoms
data_NbCd2Co
_chemical_formula_sum 'Nb1 Cd2 Co1'
_symmetry_space_group_name_H-M 'P 1'
_symmetry_Int_Tables_number 1
_cell_length_a 4.6103
_cell_length_b 4.6103
_cell_length_c 4.6103
_cell_angle_alpha 60.00
_cell_angle_beta 60.00
_cell_angle_gamma 60.00
loop_
_symmetry_equiv_pos_as_xyz
'x,y,z'
loop_
_atom_site_label
_atom_site_fract_x
_atom_site_fract_y
_atom_site_fract_z
Nb1 0.0000 0.0000 0.0000
Cd1 0.2500 0.2500 0.2500
Cd2 0.7500 0.7500 0.7500
Co1 0.5000 0.5000 0.5000

Record 4
# Zr2Tc12P7 PBE relaxed
# density	8.6	Mg/m³
# symmetry	No. 174
# VASP energy	-9.10	eV per atom
# energy of formation	-53.78	kJ/mol of atoms
data_Zr2Tc12P7
_chemical_formula_sum 'Zr2 Tc12 P7'
_symmetry_space_group_name_H-M 'P 1'
_symmetry_Int_Tables_number 1
_cell_length_a 9.4709
_cell_length_b 9.4709
_cell_length_c 3.9303
_cell_angle_alpha 90.00
_cell_angle_beta 90.00
_cell_angle_gamma 120.00
loop_
_symmetry_equiv_pos_as_xyz
'x,y,z'
loop_
_atom_site_label
_atom_site_fract_x
_atom_site_fract_y
_atom_site_fract_z
Zr1 0.0000 0.0000 0.0000
Zr2 0.3333 0.6667 0.5000
Tc1 0.0560 0.7665 0.5000
Tc2 0.0970 0.3865 0.0000
Tc3 0.2335 0.2895 0.5000
Tc4 0.2895 0.9030 0.0000
Tc5 0.3880 0.2140 0.0000
Tc6 0.5453 0.1188 0.5000
Tc7 0.5735 0.4547 0.5000
Tc8 0.6135 0.7105 0.0000
Tc9 0.7105 0.9440 0.5000
Tc10 0.7860 0.1740 0.0000
Tc11 0.8260 0.6120 0.0000
Tc12 0.8812 0.4265 0.5000
P1 0.0821 0.6217 0.0000
P2 0.2612 0.0481 0.5000
P3 0.3783 0.4604 0.0000
P4 0.5396 0.9179 0.0000
P5 0.6667 0.3333 0.0000
P6 0.7869 0.7388 0.5000
P7 0.9519 0.2131 0.5000

Record 5
# RbCu2BrF2 PBE relaxed
# density	4.5	Mg/m³
# symmetry	No. 11
# VASP energy	-3.73	eV per atom
# formation energy from raw total energies	-1.305	eV per atom
data_RbCu2BrF2
_chemical_formula_sum 'Rb2 Cu4 Br2 F4'
_symmetry_space_group_name_H-M 'P 1'
_symmetry_Int_Tables_number 1
_cell_length_a 6.2637
_cell_length_b 4.9448
_cell_length_c 8.2551
_cell_angle_alpha 90.00
_cell_angle_beta 109.34
_cell_angle_gamma 90.00
loop_
_symmetry_equiv_pos_as_xyz
'x,y,z'
loop_
_atom_site_label
_atom_site_fract_x
_atom_site_fract_y
_atom_site_fract_z
Rb1 0.1813 0.2500 0.3926
Rb2 0.8187 0.7500 0.6074
Cu1 0.3928 0.0001 0.8482
Cu2 0.3928 0.4999 0.8482
Cu3 0.6072 0.9999 0.1518
Cu4 0.6072 0.5001 0.1518
Br1 0.2394 0.7500 0.0624
Br2 0.7606 0.2500 0.9376
F1 0.1186 0.2500 0.7075
F2 0.3677 0.7500 0.6340
F3 0.6323 0.2500 0.3660
F4 0.8814 0.7500 0.2925

Record 6
# Ac3PI3 PBE relaxed
# density	6.6	Mg/m³
# symmetry	No. 11
# VASP energy	-4.56	eV per atom
# formation energy from raw total energies	-1.364	eV per atom
data_Ac3PI3
_chemical_formula_sum 'Ac6 P2 I6'
_symmetry_space_group_name_H-M 'P 1'
_symmetry_Int_Tables_number 1
_cell_length_a 9.5089
_cell_length_b 4.4638
_cell_length_c 13.0319
_cell_angle_alpha 90.00
_cell_angle_beta 90.25
_cell_angle_gamma 90.00
loop_
_symmetry_equiv_pos_as_xyz
'x,y,z'
loop_
_atom_site_label
_atom_site_fract_x
_atom_site_fract_y
_atom_site_fract_z
Ac1 0.0923 0.2500 0.1131
Ac2 0.1261 0.2500 0.6560
Ac3 0.3337 0.7500 0.8807
Ac4 0.6663 0.2500 0.1193
Ac5 0.8739 0.7500 0.3440
Ac6 0.9077 0.7500 0.8869
P1 0.1226 0.2500 0.8836
P2 0.8774 0.7500 0.1164
I1 0.1394 0.2500 0.3830
I2 0.3781 0.7500 0.1433
I3 0.3852 0.7500 0.6252
I4 0.6148 0.2500 0.3748
I5 0.6219 0.2500 0.8567
I6 0.8606 0.7500 0.6170

| no. | spin magnetization (μB/f.u.) |
| --- | --- |
| 1 | 0.00 |
| 2 | 6.26 |
| 3 | 0.60 |
| 4 | 0.00 |
| 5 | 0.00 |
| 6 | 0.00 |